(1)
Here is an optimized crystal structure of Y2HoThN4 from Alexandria. Energies are from GGA-PBE.

Output
**Formation energy from raw total energies**: -13.407 eV per formula unit
**E**: -8.95 eV per atom
**DOS at the Fermi energy**: 1.788 states/eV/f.u.
**Magnetization**: 0.00 μB/cell

Cell: 6.095 3.532 6.096 Å, 90.00 109.33 90.00°
Space group P2/m (No. 10)
Inequivalent atoms, fractional coordinates:
Y: 0.000 0.000 0.000 [1 per cell]
Y: 0.500 0.500 0.000 [1 per cell]
Ho: 0.000 0.500 0.500 [1 per cell]
Th: 0.500 0.000 0.500 [1 per cell]
N: 0.247 0.500 0.249 [2 per cell]
N: 0.249 0.000 0.748 [2 per cell]

***

(2)
Here is an optimized crystal structure of HoThZrN3 from Alexandria. Energies are from GGA-PBE.

Output
**Formation energy from raw total energies**: -9.500 eV per formula unit
**E**: -9.17 eV per atom
**DOS at the Fermi energy**: 2.053 states/eV/f.u.
**Magnetization**: 0.00 μB/cell

Cell: 5.927 3.452 8.909 Å, 90.00 102.78 90.00°
Space group P2_1/m (No. 11)
Inequivalent atoms, fractional coordinates:
Ho: 0.231 0.250 0.453 [2 per cell]
Th: 0.350 0.750 0.810 [2 per cell]
Zr: 0.133 0.750 0.137 [2 per cell]
N: 0.048 0.250 0.665 [2 per cell]
N: 0.252 0.250 0.008 [2 per cell]
N: 0.445 0.750 0.328 [2 per cell]

***

(3)
Here is an optimized crystal structure of HoTh2ZrN4 from Alexandria. Energies are from GGA-PBE.

Output
**Formation energy from raw total energies**: -12.786 eV per formula unit
**E**: -9.26 eV per atom
**DOS at the Fermi energy**: 2.604 states/eV/f.u.
**Magnetization**: 0.00 μB/cell

Cell: 6.050 3.480 6.115 Å, 90.00 109.13 90.00°
Space group P2/m (No. 10)
Inequivalent atoms, fractional coordinates:
Ho: 0.000 0.000 0.000 [1 per cell]
Th: 0.000 0.500 0.500 [1 per cell]
Th: 0.500 0.000 0.500 [1 per cell]
Zr: 0.500 0.500 0.000 [1 per cell]
N: 0.253 0.500 0.232 [2 per cell]
N: 0.266 0.000 0.774 [2 per cell]

***

(4)
Here is an optimized crystal structure of Ho2ThZrN4 from Alexandria. Energies are from GGA-PBE.

Output
**Formation energy from raw total energies**: -13.132 eV per formula unit
**E**: -8.94 eV per atom
**DOS at the Fermi energy**: 2.922 states/eV/f.u.
**Magnetization**: 0.00 μB/cell

Cell: 5.969 3.460 6.010 Å, 90.00 109.24 90.00°
Space group P2/m (No. 10)
Inequivalent atoms, fractional coordinates:
Ho: 0.000 0.000 0.000 [1 per cell]
Ho: 0.000 0.500 0.500 [1 per cell]
Th: 0.500 0.000 0.500 [1 per cell]
Zr: 0.500 0.500 0.000 [1 per cell]
N: 0.251 0.500 0.236 [2 per cell]
N: 0.259 0.000 0.763 [2 per cell]

***

(5)
Here is an optimized crystal structure of HoTiN2 from Alexandria. Energies are from GGA-PBE.

Output
**Formation energy from raw total energies**: -5.796 eV per formula unit
**E**: -8.73 eV per atom
**DOS at the Fermi energy**: 1.894 states/eV/f.u.
**Magnetization**: 0.00 μB/cell

Cell: 3.1440 3.1440 16.5962 Å, 90.00 90.00 120.00°
Space group R3m (No. 160, hexagonal axes)
Inequivalent atoms, fractional coordinates:
Ho: 0.0000 0.0000 0.0000 [3 per cell]
Ti: 0.0000 0.0000 0.1735 [3 per cell]
N: 0.0000 0.0000 0.5758 [3 per cell]
N: 0.0000 0.0000 0.7654 [3 per cell]

***

(6)
Here is an optimized crystal structure of HoTi2N from Alexandria. Energies are from GGA-PBE.

Output
**Formation energy from raw total energies**: -2.702 eV per formula unit
**E**: -7.85 eV per atom
**DOS at the Fermi energy**: 2.153 states/eV/f.u.
**Magnetization**: 0.00 μB/cell

Cell: 3.0994 3.0994 24.6546 Å, 90.00 90.00 120.00°
Space group R-3m (No. 166, hexagonal axes)
Inequivalent atoms, fractional coordinates:
Ho: 0.0000 0.0000 0.0000 [3 per cell]
Ti: 0.0000 0.0000 0.1229 [6 per cell]
N: 0.0000 0.0000 0.5000 [3 per cell]

***

(7)
Here is an optimized crystal structure of HoTiN from Alexandria. Energies are from GGA-PBE.

Output
**Formation energy from raw total energies**: -2.991 eV per formula unit
**E**: -7.93 eV per atom
**Excess energy over the best structure of this formula in the dataset**: 204 meV/atom
**DOS at the Fermi energy**: 2.443 states/eV/f.u.
**Magnetization**: 0.01 μB/cell

Cell: 3.2359 3.2359 5.3922 Å, 90.00 90.00 120.00°
Space group P3m1 (No. 156)
Inequivalent atoms, fractional coordinates:
Ho: 0.0000 0.0000 0.0000 [1 per cell]
Ti: 0.6667 0.3333 0.5424 [1 per cell]
N: 0.3333 0.6667 0.7266 [1 per cell]

***

(8)
Here is an optimized crystal structure of HoTi4N6 from Alexandria. Energies are from GGA-PBE.

Output
**Formation energy from raw total energies**: -17.411 eV per formula unit
**E**: -9.41 eV per atom
**DOS at the Fermi energy**: 1.901 states/eV/f.u.
**Magnetization**: 0.00 μB/cell

Cell: 3.027 9.983 15.438 Å, 90.00 90.00 90.00°
Space group Cmcm (No. 63)
Inequivalent atoms, fractional coordinates:
Ho: 0.000 0.151 0.250 [4 per cell]
Ti: 0.000 0.107 0.634 [8 per cell]
Ti: 0.000 0.370 0.549 [8 per cell]
N: 0.000 0.000 0.000 [4 per cell]
N: 0.000 0.173 0.750 [4 per cell]
N: 0.000 0.268 0.084 [8 per cell]
N: 0.000 0.465 0.657 [8 per cell]